A plane-wave DFT calculation with GGA+U was carried out for a relaxed structure of Na8Fe2O7.

Lattice parameters (Å, degrees): 11.129 8.787 10.218 72.36 90.00 90.00
Atoms (fractional coordinates):
Na 0.750 0.286 0.430
Na 0.024 0.881 0.424
Na 0.476 0.881 0.924
Na 0.976 0.119 0.576
Na 0.760 0.894 0.033
Na 0.260 0.106 0.467
Na 0.240 0.106 0.967
Na 0.740 0.894 0.533
Na 0.553 0.742 0.212
Na 0.053 0.258 0.288
Na 0.447 0.258 0.788
Na 0.947 0.742 0.712
Na 0.504 0.660 0.518
Na 0.004 0.340 0.982
Na 0.496 0.340 0.482
Na 0.996 0.660 0.018
Na 0.731 0.500 0.627
Na 0.231 0.500 0.873
Na 0.269 0.500 0.373
Na 0.769 0.500 0.127
Na 0.039 0.917 0.144
Na 0.750 0.286 0.930
Na 0.524 0.119 0.076
Na 0.250 0.714 0.070
Na 0.973 0.431 0.643
Na 0.473 0.569 0.857
Na 0.027 0.569 0.357
Na 0.527 0.431 0.143
Na 0.461 0.917 0.644
Na 0.961 0.083 0.856
Na 0.539 0.083 0.356
Na 0.250 0.714 0.570
Fe 0.717 0.691 0.847
Fe 0.217 0.309 0.653
Fe 0.283 0.309 0.153
Fe 0.783 0.691 0.347
Fe 0.703 0.094 0.726
Fe 0.203 0.906 0.774
Fe 0.297 0.906 0.274
Fe 0.797 0.094 0.226
O 0.110 0.895 0.622
O 0.610 0.105 0.878
O 0.890 0.105 0.378
O 0.390 0.895 0.122
O 0.115 0.329 0.496
O 0.615 0.671 0.004
O 0.885 0.671 0.504
O 0.385 0.329 0.996
O 0.611 0.106 0.566
O 0.111 0.894 0.934
O 0.389 0.894 0.434
O 0.889 0.106 0.066
O 0.825 0.252 0.682
O 0.325 0.748 0.818
O 0.175 0.748 0.318
O 0.675 0.252 0.182
O 0.619 0.676 0.700
O 0.119 0.324 0.800
O 0.381 0.324 0.300
O 0.881 0.676 0.200
O 0.349 0.458 0.605
O 0.849 0.542 0.895
O 0.651 0.542 0.395
O 0.151 0.458 0.105
O 0.301 0.103 0.716
O 0.801 0.897 0.784
O 0.699 0.897 0.284
O 0.199 0.103 0.216

Summary:
As for the space group: P2_1/c. As for the density of states at the Fermi level: 0.000 states/eV/f.u. For the calculated volume, the calculation gives 952 Å³ per cell. The final energy is -324.45 eV for the cell shown.